PBE LaAl4Ni2Os, optimized geometry; electronic total energy = -5.848 eV/atom; crystal system = trigonal; magnetic moment = 0.0 μB per formula unit
1.0
4.1286 0.0000 0.0000
2.0643 3.5754 0.0000
2.0643 1.1918 9.2762
Al Os Ni La
4 1 2 1
Direct
0.8661 0.8661 0.4017
0.1339 0.1339 0.5983
0.4096 0.4096 0.7712
0.5904 0.5904 0.2288
0.5000 0.5000 0.5000
0.7719 0.7719 0.6843
0.2281 0.2281 0.3157
0.0000 0.0000 0.0000